# 1
A relaxed structure of OsN, computed with GGA-PBE.

Output
E_form (uncorrected): 0.943 eV/atom
Total DFT energy (no corrections): -70.679 eV for the cell shown

Lattice parameters (Å, degrees): 5.4998 5.4998 3.3318 90.00 90.00 90.00
Last column: nearest neighbours and their distance in Å.
Space group P4_2/mnm (No. 136)
Unique sites:
Os 0.2072 0.2072 0.0000  4 N 1.96-2.03
N 0.1597 0.8403 0.0000  4 Os 1.96-2.03



# 2
A relaxed structure of OsN, computed with GGA-PBE.

Output
E_form (uncorrected): 0.734 eV/atom
Total DFT energy (no corrections): -144.701 eV for the cell shown

Lattice parameters (Å, degrees): 5.3773 5.6531 6.8893 90.00 90.00 90.00
Last column: nearest neighbours and their distance in Å.
Space group P2_12_12_1 (No. 19)
Unique sites:
Os 0.1073 0.0483 0.2220  4 N 2.00-2.09
Os 0.2210 0.6459 0.9924  4 N 2.01-2.05
N 0.1324 0.0302 0.5249  4 Os 2.00-2.09
N 0.2126 0.3902 0.2033  4 Os 2.01-2.05



Number 1: calculated volume 25 Å³/f.u.. Number 2: calculated volume 26 Å³/f.u..